Density functional theory data (PBE) for an optimized crystal structure of Sm2CuH.

Energy ... -0.160 hartree per atom
Energy above the most stable polymorph in this dataset ... 0.000 eV/atom
Density of states at the Fermi level ... 11.57 states/eV/cell

```
data_Sm2CuH
_cell_length_a 3.8713
_cell_length_b 3.8713
_cell_length_c 19.3957
_cell_angle_alpha 90.00
_cell_angle_beta 90.00
_cell_angle_gamma 120.00
_space_group_name_H-M_alt 'R -3 m'
_space_group_IT_number 166
_space_group_name_Hall '-R 3 2"'
loop_
_atom_site_label
_atom_site_fract_x
_atom_site_fract_y
_atom_site_fract_z
Sm1 0.0000 0.0000 0.2386
Cu1 0.0000 0.0000 0.0000
H1 0.0000 0.0000 0.5000
```

---

Density functional theory data (PBE) for an optimized crystal structure of Tl2TeAu2.

Energy ... -0.102 hartree per atom
Energy above the most stable polymorph in this dataset ... 0.195 eV/atom
Density of states at the Fermi level ... 5.05 states/eV/cell

```
data_Tl2TeAu2
_cell_length_a 9.027
_cell_length_b 9.027
_cell_length_c 3.184
_cell_angle_alpha 90.00
_cell_angle_beta 90.00
_cell_angle_gamma 90.00
_space_group_name_H-M_alt 'P 4/m b m'
_space_group_IT_number 127
_space_group_name_Hall '-P 4 2ab'
loop_
_atom_site_label
_atom_site_fract_x
_atom_site_fract_y
_atom_site_fract_z
Tl1 0.194 0.306 0.000
Te1 0.000 0.000 0.000
Au1 0.107 0.607 0.500
```